No. 1
PBE Ac19Tl4Co6, relaxed; total DFT energy (no corrections) = -132.69 eV for the cell shown; N(E_F) = 31.7 states/eV per cell; formation energy = -0.09 eV/atom; symmetry = I23, No. 197
1.0
10.388 0.000 -3.673
-5.194 8.996 -3.673
0.000 0.000 11.018
Ac Tl Co
19 4 6
Direct
0.644 0.000 0.644 Ac
0.356 0.000 0.356 Ac
0.356 0.356 0.000 Ac
0.644 0.644 0.000 Ac
0.000 0.644 0.644 Ac
0.000 0.356 0.356 Ac
0.000 0.000 0.000 Ac
0.248 0.237 0.590 Ac
0.752 0.342 0.988 Ac
0.646 0.658 0.410 Ac
0.988 0.752 0.342 Ac
0.354 0.763 0.012 Ac
0.590 0.248 0.237 Ac
0.012 0.354 0.763 Ac
0.410 0.646 0.658 Ac
0.763 0.012 0.354 Ac
0.342 0.988 0.752 Ac
0.237 0.590 0.248 Ac
0.658 0.410 0.646 Ac
0.000 0.000 0.679 Tl
0.000 0.679 0.000 Tl
0.321 0.321 0.321 Tl
0.679 0.000 0.000 Tl
0.310 0.500 0.810 Co
0.690 0.500 0.190 Co
0.190 0.690 0.500 Co
0.810 0.310 0.500 Co
0.500 0.810 0.310 Co
0.500 0.190 0.690 Co

No. 2
PBE La2P3Pt12Au, relaxed; total DFT energy (no corrections) = -108.93 eV for the cell shown; N(E_F) = 6.7 states/eV per cell; formation energy = -0.39 eV/atom; symmetry = R-3m, No. 166
1.0
7.721 -0.307 -0.218
3.547 6.865 -0.218
3.547 2.064 6.551
La P Pt Au
2 3 12 1
Direct
0.613 0.613 0.613 La
0.387 0.387 0.387 La
0.500 0.000 0.000 P
0.000 0.500 0.000 P
0.000 0.000 0.500 P
0.342 0.342 0.898 Pt
0.870 0.870 0.386 Pt
0.386 0.870 0.870 Pt
0.898 0.342 0.342 Pt
0.870 0.386 0.870 Pt
0.342 0.898 0.342 Pt
0.658 0.658 0.102 Pt
0.130 0.130 0.614 Pt
0.614 0.130 0.130 Pt
0.102 0.658 0.658 Pt
0.130 0.614 0.130 Pt
0.658 0.102 0.658 Pt
0.000 0.000 0.000 Au

No. 3
PBE NaHo2Ga9, relaxed; total DFT energy (no corrections) = -41.84 eV for the cell shown; N(E_F) = 4.4 states/eV per cell; formation energy = -0.34 eV/atom; symmetry = P4/mmm, No. 123
1.0
4.255 0.000 0.000
0.000 4.255 0.000
0.000 0.000 12.861
Na Ho Ga
1 2 9
Direct
0.000 0.000 0.000 Na
0.000 0.000 0.333 Ho
0.000 0.000 0.667 Ho
0.500 0.500 0.000 Ga
0.500 0.500 0.337 Ga
0.500 0.500 0.663 Ga
0.500 0.000 0.164 Ga
0.500 0.000 0.500 Ga
0.500 0.000 0.836 Ga
0.000 0.500 0.164 Ga
0.000 0.500 0.500 Ga
0.000 0.500 0.836 Ga

No. 4
PBE LiCu4P3O12, relaxed; E above lowest polymorph = 0.039 eV per atom; total DFT energy (no corrections) = -248.24 eV for the cell shown; N(E_F) = 19.0 states/eV per cell; energy relative to the elements, uncorrected = -2903.7 kJ/mol of formula units; symmetry = Cmc2_1, No. 36
1.0
-0.031 -7.046 4.156
5.120 6.351 -0.611
-4.681 4.506 7.606
Li Cu P O
2 8 6 24
Direct
0.007 0.993 0.313 Li
0.993 0.007 0.813 Li
0.621 0.379 0.435 Cu
0.056 0.452 0.248 Cu
0.548 0.944 0.248 Cu
0.632 0.368 0.046 Cu
0.379 0.621 0.935 Cu
0.452 0.056 0.748 Cu
0.944 0.548 0.748 Cu
0.368 0.632 0.546 Cu
0.176 0.824 0.463 P
0.482 0.518 0.209 P
0.188 0.812 0.026 P
0.824 0.176 0.963 P
0.518 0.482 0.709 P
0.812 0.188 0.526 P
0.313 0.072 0.421 O
0.928 0.687 0.421 O
0.270 0.730 0.388 O
0.780 0.220 0.374 O
0.232 0.355 0.265 O
0.583 0.417 0.243 O
0.645 0.768 0.265 O
0.799 0.201 0.116 O
0.278 0.722 0.110 O
0.330 0.064 0.058 O
0.936 0.670 0.058 O
0.486 0.514 0.053 O
0.072 0.313 0.921 O
0.687 0.928 0.921 O
0.730 0.270 0.888 O
0.220 0.780 0.874 O
0.417 0.583 0.743 O
0.355 0.232 0.765 O
0.768 0.645 0.765 O
0.201 0.799 0.616 O
0.722 0.278 0.610 O
0.670 0.936 0.558 O
0.064 0.330 0.558 O
0.514 0.486 0.553 O